Model w:
The following is a PBE calculation of a relaxed structure of Tl2PIr, from Alexandria.

Output
SG: Pmmm (47)

Unit cell a=3.2215 b=4.0072 c=6.2243 alpha=90.00 beta=90.00 gamma=90.00
Positions (direct):
Tl: 0.0000 0.0000 0.2426
Tl: 0.0000 0.0000 0.7574
P: 0.5000 0.5000 0.5000
Ir: 0.5000 0.5000 0.0000

Model x:
The following is a PBE calculation of a relaxed structure of Tl2PIr, from Alexandria.

Output
SG: Imm2 (44)

Unit cell a=7.1161 b=7.1161 c=7.1161 alpha=152.91 beta=143.15 gamma=46.32
Positions (direct):
Tl: 0.0000 0.0000 0.0000
Tl: 0.6982 0.1982 0.5000
P: 0.3859 0.3859 0.0000
Ir: 0.2712 0.7712 0.5000

Model y:
The following is a PBE calculation of a relaxed structure of Tl2PIr, from Alexandria.

Output
SG: I-42d (122)

Unit cell a=7.5208 b=7.5208 c=7.5208 alpha=131.46 beta=131.46 gamma=71.08
Positions (direct):
Tl: 0.1228 0.6250 0.9978
Tl: 0.3750 0.3728 0.4978
Tl: 0.6272 0.1250 0.0022
Tl: 0.8750 0.8772 0.5022
P: 0.0000 0.0000 0.0000
P: 0.7500 0.2500 0.5000
Ir: 0.2500 0.7500 0.5000
Ir: 0.5000 0.5000 0.0000

Model z:
The following is a PBE calculation of a relaxed structure of Tl2PIr, from Alexandria.

Output
SG: I-4m2 (119)

Unit cell a=5.0515 b=5.0515 c=5.0515 alpha=126.28 beta=126.28 gamma=79.43
Positions (direct):
Tl: 0.0000 0.0000 0.0000
Tl: 0.7500 0.2500 0.5000
P: 0.5000 0.5000 0.0000
Ir: 0.2500 0.7500 0.5000

The winner here is model x, beating the second structure by 577 meV/atom.

Model w:
The following is a PBE calculation of a relaxed structure of VP3Ir, from Alexandria.

Output
SG: Pm-3m (221)

Unit cell a=4.4241 b=4.4241 c=4.4241 alpha=90.00 beta=90.00 gamma=90.00
Positions (direct):
V: 0.0000 0.0000 0.0000
P: 0.0000 0.0000 0.5000
P: 0.0000 0.5000 0.0000
P: 0.5000 0.0000 0.0000
Ir: 0.5000 0.5000 0.5000

Model x:
The following is a PBE calculation of a relaxed structure of VP3Ir, from Alexandria.

Output
SG: Pm-3m (221)

Unit cell a=4.6190 b=4.6190 c=4.6190 alpha=90.00 beta=90.00 gamma=90.00
Positions (direct):
V: 0.0000 0.0000 0.0000
P: 0.0000 0.5000 0.5000
P: 0.5000 0.0000 0.5000
P: 0.5000 0.5000 0.0000
Ir: 0.5000 0.5000 0.5000

The winner here is model w, beating the second structure by 82 meV/atom.

Model w:
The following is a PBE calculation of a relaxed structure of V3PIr, from Alexandria.

Output
SG: Pm-3m (221)

Unit cell a=4.2452 b=4.2452 c=4.2452 alpha=90.00 beta=90.00 gamma=90.00
Positions (direct):
V: 0.0000 0.0000 0.5000
V: 0.0000 0.5000 0.0000
V: 0.5000 0.0000 0.0000
P: 0.0000 0.0000 0.0000
Ir: 0.5000 0.5000 0.5000

Model x:
The following is a PBE calculation of a relaxed structure of V3PIr, from Alexandria.

Output
SG: Pm-3m (221)

Unit cell a=4.6463 b=4.6463 c=4.6463 alpha=90.00 beta=90.00 gamma=90.00
Positions (direct):
V: 0.0000 0.0000 0.5000
V: 0.0000 0.5000 0.0000
V: 0.5000 0.0000 0.0000
P: 0.5000 0.5000 0.5000
Ir: 0.0000 0.0000 0.0000

The winner here is model w, beating the second structure by 774 meV/atom.

Model w:
The following is a PBE calculation of a relaxed structure of PIr3W, from Alexandria.

Output
SG: Pm-3m (221)

Unit cell a=4.7457 b=4.7457 c=4.7457 alpha=90.00 beta=90.00 gamma=90.00
Positions (direct):
P: 0.0000 0.0000 0.0000
Ir: 0.0000 0.5000 0.5000
Ir: 0.5000 0.0000 0.5000
Ir: 0.5000 0.5000 0.0000
W: 0.5000 0.5000 0.5000

Model x:
The following is a PBE calculation of a relaxed structure of PIr3W, from Alexandria.

Output
SG: Pm-3m (221)

Unit cell a=4.3891 b=4.3891 c=4.3891 alpha=90.00 beta=90.00 gamma=90.00
Positions (direct):
P: 0.0000 0.0000 0.0000
Ir: 0.0000 0.0000 0.5000
Ir: 0.0000 0.5000 0.0000
Ir: 0.5000 0.0000 0.0000
W: 0.5000 0.5000 0.5000

The winner here is model x, beating the second structure by 967 meV/atom.

Model w:
The following is a PBE calculation of a relaxed structure of YPIr3, from Alexandria.

Output
SG: Pm-3m (221)

Unit cell a=4.4887 b=4.4887 c=4.4887 alpha=90.00 beta=90.00 gamma=90.00
Positions (direct):
Y: 0.0000 0.0000 0.0000
P: 0.5000 0.5000 0.5000
Ir: 0.0000 0.5000 0.5000
Ir: 0.5000 0.0000 0.5000
Ir: 0.5000 0.5000 0.0000

Model x:
The following is a PBE calculation of a relaxed structure of YPIr3, from Alexandria.

Output
SG: I4mm (107)

Unit cell a=6.0124 b=6.0124 c=6.0124 alpha=141.21 beta=141.21 gamma=56.02
Positions (direct):
Y: 0.0000 0.0000 0.0000
P: 0.6250 0.6250 0.0000
Ir: 0.2423 0.7423 0.5000
Ir: 0.4148 0.4148 0.0000
Ir: 0.7423 0.2423 0.5000

Model y:
The following is a PBE calculation of a relaxed structure of YPIr3, from Alexandria.

Output
SG: Pm-3m (221)

Unit cell a=4.9630 b=4.9630 c=4.9630 alpha=90.00 beta=90.00 gamma=90.00
Positions (direct):
Y: 0.0000 0.0000 0.0000
P: 0.5000 0.5000 0.5000
Ir: 0.0000 0.0000 0.5000
Ir: 0.0000 0.5000 0.0000
Ir: 0.5000 0.0000 0.0000

The winner here is model x, beating the second structure by 516 meV/atom.

Model w:
The following is a PBE calculation of a relaxed structure of ZnPIr3, from Alexandria.

Output
SG: Pm-3m (221)

Unit cell a=4.5205 b=4.5205 c=4.5205 alpha=90.00 beta=90.00 gamma=90.00
Positions (direct):
Zn: 0.0000 0.0000 0.0000
P: 0.5000 0.5000 0.5000
Ir: 0.0000 0.0000 0.5000
Ir: 0.0000 0.5000 0.0000
Ir: 0.5000 0.0000 0.0000

Model x:
The following is a PBE calculation of a relaxed structure of ZnPIr3, from Alexandria.

Output
SG: Pm-3m (221)

Unit cell a=4.3881 b=4.3881 c=4.3881 alpha=90.00 beta=90.00 gamma=90.00
Positions (direct):
Zn: 0.0000 0.0000 0.0000
P: 0.5000 0.5000 0.5000
Ir: 0.0000 0.5000 0.5000
Ir: 0.5000 0.0000 0.5000
Ir: 0.5000 0.5000 0.0000

The winner here is model x, beating the second structure by 1337 meV/atom.

Model w:
The following is a PBE calculation of a relaxed structure of Zn3PIr, from Alexandria.

Output
SG: Pm-3m (221)

Unit cell a=4.4684 b=4.4684 c=4.4684 alpha=90.00 beta=90.00 gamma=90.00
Positions (direct):
Zn: 0.0000 0.0000 0.5000
Zn: 0.0000 0.5000 0.0000
Zn: 0.5000 0.0000 0.0000
P: 0.0000 0.0000 0.0000
Ir: 0.5000 0.5000 0.5000

Model x:
The following is a PBE calculation of a relaxed structure of Zn3PIr, from Alexandria.

Output
SG: Pm-3m (221)

Unit cell a=4.7602 b=4.7602 c=4.7602 alpha=90.00 beta=90.00 gamma=90.00
Positions (direct):
Zn: 0.0000 0.0000 0.5000
Zn: 0.0000 0.5000 0.0000
Zn: 0.5000 0.0000 0.0000
P: 0.5000 0.5000 0.5000
Ir: 0.0000 0.0000 0.0000

The winner here is model x, beating the second structure by 75 meV/atom.

Model w:
The following is a PBE calculation of a relaxed structure of ZrP3Ir, from Alexandria.

Output
SG: Pm-3m (221)

Unit cell a=4.9023 b=4.9023 c=4.9023 alpha=90.00 beta=90.00 gamma=90.00
Positions (direct):
Zr: 0.0000 0.0000 0.0000
P: 0.0000 0.0000 0.5000
P: 0.0000 0.5000 0.0000
P: 0.5000 0.0000 0.0000
Ir: 0.5000 0.5000 0.5000

Model x:
The following is a PBE calculation of a relaxed structure of ZrP3Ir, from Alexandria.

Output
SG: Pm-3m (221)

Unit cell a=4.6122 b=4.6122 c=4.6122 alpha=90.00 beta=90.00 gamma=90.00
Positions (direct):
Zr: 0.0000 0.0000 0.0000
P: 0.0000 0.5000 0.5000
P: 0.5000 0.0000 0.5000
P: 0.5000 0.5000 0.0000
Ir: 0.5000 0.5000 0.5000

The winner here is model x, beating the second structure by 800 meV/atom.

Model w:
The following is a PBE calculation of a relaxed structure of Pa3Ir, from Alexandria.

Output
SG: P4/mmm (123)

Unit cell a=5.2438 b=5.2438 c=3.1811 alpha=90.00 beta=90.00 gamma=90.00
Positions (direct):
Pa: 0.0000 0.0000 0.0000
Pa: 0.0000 0.5000 0.5000
Pa: 0.5000 0.0000 0.5000
Ir: 0.5000 0.5000 0.0000

Model x:
The following is a PBE calculation of a relaxed structure of Pa3Ir, from Alexandria.

Output
SG: I4/mmm (139)

Unit cell a=7.3526 b=7.3526 c=7.3526 alpha=149.53 beta=149.53 gamma=43.63
Positions (direct):
Pa: 0.0000 0.0000 0.0000
Pa: 0.2940 0.2940 0.0000
Pa: 0.7060 0.7060 0.0000
Ir: 0.5000 0.5000 0.0000

Model y:
The following is a PBE calculation of a relaxed structure of Pa3Ir, from Alexandria.

Output
SG: Immm (71)

Unit cell a=5.8139 b=5.8139 c=5.8139 alpha=145.86 beta=123.84 gamma=67.39
Positions (direct):
Pa: 0.0000 0.0000 0.0000
Pa: 0.2650 0.7650 0.5000
Pa: 0.7350 0.2350 0.5000
Ir: 0.5000 0.5000 0.0000

The winner here is model y, beating the second structure by 59 meV/atom.

Model w:
The following is a PBE calculation of a relaxed structure of PaIrPd, from Alexandria.

Output
SG: Immm (71)

Unit cell a=6.0867 b=6.0867 c=6.0867 alpha=143.70 beta=109.76 gamma=81.72
Positions (direct):
Pa: 0.2361 0.0000 0.2361
Pa: 0.7639 0.0000 0.7639
Ir: 0.1467 0.6467 0.5000
Ir: 0.8533 0.3533 0.5000
Pd: 0.3529 0.3529 0.0000
Pd: 0.6471 0.6471 0.0000

Model x:
The following is a PBE calculation of a relaxed structure of PaIrPd, from Alexandria.

Output
SG: P3m1 (156)

Unit cell a=4.5897 b=4.5897 c=3.1480 alpha=90.00 beta=90.00 gamma=120.00
Positions (direct):
Pa: 0.0000 0.0000 0.0000
Ir: 0.6667 0.3333 0.4697
Pd: 0.3333 0.6667 0.5109

Model y:
The following is a PBE calculation of a relaxed structure of PaIrPd, from Alexandria.

Output
SG: Cmcm (63)

Unit cell a=9.2920 b=9.2920 c=3.7033 alpha=90.00 beta=90.00 gamma=157.88
Positions (direct):
Pa: 0.1340 0.8660 0.7500
Pa: 0.8660 0.1340 0.2500
Ir: 0.2944 0.7056 0.7500
Ir: 0.7056 0.2944 0.2500
Pd: 0.4470 0.5530 0.7500
Pd: 0.5530 0.4470 0.2500

Model z:
The following is a PBE calculation of a relaxed structure of PaIrPd, from Alexandria.

Output
SG: I4mm (107)

Unit cell a=5.1826 b=5.1826 c=5.1826 alpha=139.23 beta=139.23 gamma=59.02
Positions (direct):
Pa: 0.0000 0.0000 0.0000
Ir: 0.3629 0.3629 0.0000
Pd: 0.6830 0.6830 0.0000

The winner here is model z, beating the second structure by 48 meV/atom.

Model w:
The following is a PBE calculation of a relaxed structure of PmPaIrPd, from Alexandria.

Output
SG: F-43m (216)

Unit cell a=4.9695 b=4.9695 c=4.9695 alpha=60.00 beta=60.00 gamma=60.00
Positions (direct):
Pm: 0.0000 0.0000 0.0000
Pa: 0.5000 0.5000 0.5000
Ir: 0.7500 0.7500 0.7500
Pd: 0.2500 0.2500 0.2500

Model x:
The following is a PBE calculation of a relaxed structure of PmPaIrPd, from Alexandria.

Output
SG: Amm2 (38)

Unit cell a=4.0794 b=6.2786 c=6.2786 alpha=35.27 beta=90.00 gamma=90.00
Positions (direct):
Pm: 0.0000 0.0000 0.0000
Pa: 0.5000 0.7280 0.7280
Ir: 0.0000 0.2492 0.2492
Pd: 0.5000 0.4258 0.4258

The winner here is model x, beating the second structure by 235 meV/atom.